The following is a PBE-GGA calculation of a geometry-optimized HfMg2Si structure, from Alexandria.

Output
- Magnetic moment: 0.00 Bohr magnetons per cell
- Electronic total energy: -4.43 eV per atom
- Energy relative to the elements, uncorrected: 0.213 eV/atom
- SG: I-42d

a = 6.227 Å, b = 6.227 Å, c = 6.227 Å
α = 100.87°, β = 100.87°, γ = 128.54°
Positions (direct):
Hf1 0.000 0.000 0.000
Hf2 0.750 0.250 0.500
Mg1 0.175 0.125 0.550
Mg2 0.375 0.825 0.950
Mg3 0.575 0.625 0.450
Mg4 0.875 0.425 0.050
Si1 0.250 0.750 0.500
Si2 0.500 0.500 0.000